The following is a DFT calculation (PBE) of a relaxed RbLiZr2I crystal.

Summary:
space-group type	P4/mmm, No. 123
density	3.9	g/cm3
uncorrected formation energy	1.69	eV per atom
crystal system	tetragonal

abc: 5.1551 6.4103 5.1551
angles: 90.00 90.00 90.00
With the nearest neighbours (Å) after each atom.
Atoms (fractional coordinates):
I  0.0000  0.5000  0.0000  2 Rb 3.21
Rb  0.0000  0.0000  0.0000  4 Zr 2.58
Zr  0.5000  0.0000  0.0000  2 Rb 2.58
Zr  0.0000  0.0000  0.5000  2 Rb 2.58
Li  0.5000  0.5000  0.5000  4 I 3.65